Entry 1:
{"formula": "La2Nd3Er5", "functional": "GGA-PBE", "state": "optimized geometry", "cell": [[5.319, -8.278, 0.000], [5.319, 8.278, 0.000], [-5.318, 0.000, 7.620]], "species": ["La", "La", "La", "La", "Nd", "Nd", "Nd", "Nd", "Nd", "Nd", "Er", "Er", "Er", "Er", "Er", "Er", "Er", "Er", "Er", "Er"], "frac_coords": [[0.025, 0.269, 0.045], [0.269, 0.025, 0.545], [0.731, 0.975, 0.455], [0.975, 0.731, 0.955], [0.227, 0.474, 0.454], [0.270, 0.730, 0.250], [0.474, 0.227, 0.954], [0.526, 0.773, 0.046], [0.730, 0.270, 0.750], [0.773, 0.526, 0.546], [0.027, 0.973, 0.750], [0.138, 0.370, 0.750], [0.227, 0.773, 0.750], [0.370, 0.138, 0.250], [0.473, 0.527, 0.250], [0.527, 0.473, 0.750], [0.630, 0.862, 0.750], [0.773, 0.227, 0.250], [0.862, 0.630, 0.250], [0.973, 0.027, 0.250]], "spacegroup": "C2/c, No. 15", "m_tot_mub_per_fu": 0.00, "delta_e_f_ev_per_atom": 0.1752, "density_g_cm3": 7.656}


Entry 2:
{"formula": "PrCuRu", "functional": "GGA-PBE", "state": "optimized geometry", "cell": [[5.288, 0.000, 0.000], [0.000, 5.292, 0.000], [0.000, 0.000, 7.919]], "species": ["Pr", "Pr", "Pr", "Pr", "Cu", "Cu", "Cu", "Cu", "Ru", "Ru", "Ru", "Ru"], "frac_coords": [[0.000, 0.250, 0.129], [0.000, 0.750, 0.871], [0.500, 0.250, 0.371], [0.500, 0.750, 0.629], [0.250, 0.250, 0.750], [0.250, 0.750, 0.250], [0.750, 0.250, 0.750], [0.750, 0.750, 0.250], [0.000, 0.000, 0.500], [0.000, 0.500, 0.500], [0.500, 0.000, 0.000], [0.500, 0.500, 0.000]], "spacegroup": "Imma, No. 74", "m_tot_mub_per_fu": 0.00, "delta_e_f_ev_per_atom": -0.1548, "e_above_lowest_polymorph_ev_per_fu": 0.00, "density_g_cm3": 9.158}


Entry 3:
{"formula": "Ce2Sm3DyEr6", "functional": "GGA-PBE", "state": "optimized geometry", "cell": [[3.069, -5.315, 0.000], [3.069, 5.315, 0.000], [-2.044, 0.000, 11.493]], "species": ["Ce", "Ce", "Sm", "Sm", "Sm", "Dy", "Er", "Er", "Er", "Er", "Er", "Er"], "frac_coords": [[0.166, 0.834, 0.000], [0.834, 0.166, 0.000], [0.000, 0.000, 0.500], [0.334, 0.666, 0.500], [0.666, 0.334, 0.500], [0.500, 0.500, 0.000], [0.082, 0.417, 0.753], [0.247, 0.247, 0.247], [0.417, 0.082, 0.753], [0.583, 0.918, 0.247], [0.753, 0.753, 0.753], [0.918, 0.583, 0.247]], "spacegroup": "C2/m, No. 12", "m_tot_mub_per_fu": 1.83, "delta_e_f_ev_per_atom": 0.0438, "density_g_cm3": 8.402}


Entry 4:
{"formula": "La5Ge4", "functional": "GGA-PBE", "state": "optimized geometry", "cell": [[5.712, -2.297, 0.000], [5.712, 2.297, 0.000], [-3.960, 0.000, 9.652]], "species": ["La", "La", "La", "La", "La", "Ge", "Ge", "Ge", "Ge"], "frac_coords": [[0.000, 0.000, 0.000], [0.100, 0.100, 0.392], [0.247, 0.247, 0.833], [0.753, 0.753, 0.167], [0.900, 0.900, 0.608], [0.378, 0.378, 0.389], [0.451, 0.451, 0.171], [0.549, 0.549, 0.829], [0.622, 0.622, 0.611]], "spacegroup": "C2/m, No. 12", "m_tot_mub_per_fu": 0.00, "delta_e_f_ev_per_atom": -0.7849, "density_g_cm3": 6.459}